[1]
18
Lattice="-0.7188 -4.2351 -0.0242 9.4125 0.6023 -3.7027 5.2218 -0.9612 13.1177" Properties=species:S:1:pos:R:3 comment="Cs2AgGeCl5, optimized geometry, DFT PBE" raw_formation_energy_ev_per_fu=-11.33 vol_a3_per_atom=33.44 spacegroup="Cmc2_1 (36)" pbc="T T T"
Cs 10.4631 -3.9983 7.6796
Cs 3.9227 -0.6823 2.8927
Cs 7.7249 -3.4871 -0.4563
Cs 5.5459 -0.9883 8.2275
Ge 3.8634 -0.6474 -1.4509
Ge 7.5332 -3.4829 4.5138
Cl 11.1994 -1.9612 10.5782
Cl 3.8393 -2.8900 10.4612
Cl 10.6216 -4.0043 4.0355
Cl 8.4002 -1.4611 6.2078
Cl 7.5137 -1.2910 2.7558
Cl 4.2900 -2.9073 0.1046
Cl 1.3150 -0.2254 0.3838
Cl 5.2677 -3.1025 5.2224
Cl 10.5901 -1.7986 0.2205
Cl 7.7868 -3.5580 10.1144
Ag 10.5436 -1.8050 2.7320
Ag 5.5916 -3.1975 12.2346

***

[2]
11
Lattice="7.7729 0.0000 0.0000 -3.8865 6.8177 0.0315 0.0000 -3.8822 6.7551" Properties=species:S:1:pos:R:3 comment="Cs2Ag2GeCl6, optimized geometry, DFT PBE" raw_formation_energy_ev_per_fu=-12.16 vol_a3_per_atom=32.63 spacegroup="C2/m (12)" pbc="T T T"
Cl 1.8316 5.4425 1.5219
Cl 3.8865 0.5319 4.4174
Cl 2.0548 -2.5070 5.2647
Cl 0.0000 2.4036 2.3692
Cl 5.7181 -2.5070 5.2647
Cl -1.8316 5.4425 1.5219
Ag 3.8865 2.8661 5.3056
Ag 0.0000 0.0694 1.4810
Cs 3.8865 2.3688 1.3476
Cs 0.0000 0.5667 5.4391
Ge 3.8865 -1.9411 3.3776

***

[3]
20
Lattice="7.1867 0.0000 -0.1336 0.0000 7.7943 0.0000 -0.0601 0.0000 11.2320" Properties=species:S:1:pos:R:3 comment="Cs2AgHCl6, optimized geometry, DFT PBE" vol_a3_per_atom=31.46 spacegroup="P2_1/c (14)" pbc="T T T"
Cl 1.1372 2.8424 5.6031
Cl 4.7606 1.0548 -0.0797
Cl 5.2969 5.2663 0.0272
Cl 3.6416 0.1746 7.8860
Cl 3.4851 7.6197 3.2124
Cl 5.4532 1.3692 5.3885
Cl 5.9895 4.9519 5.4953
Cl 0.0783 3.7226 2.3368
Cl 1.8298 2.5280 11.0713
Cl 2.3661 6.7396 11.1781
Cl 1.6735 6.4252 5.7100
Cl 7.0484 4.0718 8.7617
Cs 3.4726 4.1047 8.2088
Cs 3.6541 3.6897 2.8897
Cs 7.0960 7.5869 2.5260
Cs 0.0307 0.2075 8.5725
H 3.5934 0.0000 -0.0668
H -0.0300 3.8972 5.6160
Ag 0.0000 3.8972 0.0000
Ag 3.5633 0.0000 5.5492

***

[4]
11
Lattice="6.9203 0.0000 0.0000 3.4601 5.9932 0.0000 3.4601 1.9977 6.8408" Properties=species:S:1:pos:R:3 comment="Cs2AgH2Cl6, optimized geometry, DFT PBE" vol_a3_per_atom=25.79 spacegroup="R-3m (166)" pbc="T T T"
Cl 8.5035 4.9095 1.5419
Cl 5.3370 3.0813 5.2989
Cl 6.9203 2.1673 1.5419
Cl 5.3370 4.9095 1.5419
Cl 8.5035 3.0813 5.2989
Cl 6.9203 5.8236 5.2989
H 6.9203 3.9954 1.4760
H 6.9203 3.9954 5.3647
Ag 0.0000 0.0000 0.0000
Cs 3.4601 1.9977 2.0890
Cs 10.3804 5.9932 4.7517

***

[5]
10
Lattice="7.9798 0.0000 0.0000 0.0000 7.9798 0.0000 3.9899 3.9899 5.6467" Properties=species:S:1:pos:R:3 comment="Cs2HfAgCl6, optimized geometry, DFT PBE" raw_formation_energy_ev_per_fu=-15.63 vol_a3_per_atom=35.96 spacegroup="Fm-3m (225)" pbc="T T T"
Cl 1.7421 6.2377 0.0000
Cl 7.9798 7.9798 2.4629
Cl 6.2377 1.7421 0.0000
Cl 6.2377 6.2377 0.0000
Cl 3.9899 3.9899 3.1838
Cl 1.7421 1.7421 0.0000
Cs 3.9899 7.9798 2.8233
Cs 7.9798 3.9899 2.8233
Hf 0.0000 0.0000 0.0000
Ag 3.9899 3.9899 0.0000

***

[6]
18
Lattice="-2.0292 6.4321 1.9772 -3.8743 -3.6518 -4.5883 -7.7986 -5.9369 11.3101" Properties=species:S:1:pos:R:3 comment="CsHfAgCl6, optimized geometry, DFT PBE" raw_formation_energy_ev_per_fu=-14.53 vol_a3_per_atom=35.57 spacegroup="P-31c (163)" pbc="T T T"
Cl -4.5499 3.9759 1.9910
Cl -6.7027 -5.0965 5.6462
Cl -6.9994 1.9398 3.0527
Cl -2.1388 1.5040 2.3560
Cl -8.8653 -4.1539 8.4693
Cl -4.1380 1.9285 5.0198
Cl -4.8367 0.9973 0.2297
Cl -4.9003 -0.8262 3.0481
Cl -9.5640 -5.0852 3.6792
Cl -9.1521 -7.1326 6.7079
Cl -8.8018 -2.3305 5.6508
Cl -11.5632 -4.6607 6.3429
Ag -8.4931 -1.3819 8.2712
Ag -5.2089 -1.7748 0.4277
Hf -9.1082 -4.7432 6.0827
Hf -4.5939 1.5866 2.6162
Cs -3.8993 -2.9685 5.6550
Cs 0.0000 0.0000 0.0000

***

[7]
18
Lattice="-0.5795 -3.7773 2.2396 6.0812 5.4182 6.3320 -11.2900 5.4141 6.2100" Properties=species:S:1:pos:R:3 comment="Cs2AgHgCl5, optimized geometry, DFT PBE" raw_formation_energy_ev_per_fu=-10.73 vol_a3_per_atom=34.65 spacegroup="Cmc2_1 (36)" pbc="T T T"
Cl -0.8217 4.2066 6.8823
Cl 0.4944 0.4168 5.2112
Cl -4.1461 1.9945 6.6713
Cl 0.6117 0.7785 1.4714
Cl -3.9941 5.5407 8.3116
Cl -3.0792 7.7794 12.3242
Cl -1.5002 3.9267 10.6150
Cl -7.9670 4.2872 9.5496
Cl -3.5080 -0.3414 2.8967
Cl 3.8447 2.4292 5.0921
Cs -6.5408 4.6549 6.1586
Cs -1.9464 2.5910 3.8665
Cs 1.8173 1.8894 8.0373
Cs -5.1341 5.0836 11.6258
Ag 0.1110 5.4329 9.1921
Ag -10.1080 3.6403 7.9044
Hg 2.2476 1.6232 3.3194
Hg -2.8564 2.9479 8.6131

***

[8]
15
Lattice="7.4491 0.0000 0.0000 -3.7246 6.4511 0.0000 0.0000 0.0000 9.1329" Properties=species:S:1:pos:R:3 comment="Cs3Ag2HgCl9, optimized geometry, DFT PBE" raw_formation_energy_ev_per_fu=-16.53 vol_a3_per_atom=29.26 spacegroup="P-3m1 (164)" pbc="T T T"
Cl 1.8835 1.0874 6.1253
Cl 3.7246 0.0000 0.0000
Cl 1.8623 3.2256 0.0000
Cl 5.5657 1.0874 6.1253
Cl -1.8411 5.3637 3.0077
Cl 0.0000 2.1749 3.0077
Cl 1.8411 5.3637 3.0077
Cl 3.7246 4.2763 6.1253
Cl -1.8623 3.2256 0.0000
Hg 0.0000 0.0000 4.5665
Ag 0.0000 4.3008 1.4628
Ag 3.7246 2.1504 7.6701
Cs 0.0000 0.0000 0.0000
Cs 0.0000 4.3008 6.0908
Cs 3.7246 2.1504 3.0421

***

[9]
9
Lattice="6.8765 -0.0002 -0.0004 3.4381 5.9566 -0.0001 -0.0002 -0.0002 7.7056" Properties=species:S:1:pos:R:3 comment="CsAgHgCl6, optimized geometry, DFT PBE" raw_formation_energy_ev_per_fu=-6.32 vol_a3_per_atom=35.07 spacegroup="P312 (149)" pbc="T T T"
Cl 2.2373 3.6513 5.3446
Cl 4.2803 0.1123 2.3604
Cl 2.5955 0.1123 5.3445
Cl 1.3946 2.1924 2.3610
Cl 5.4813 2.1924 5.3441
Cl 4.6387 3.6514 2.3607
Hg 6.8763 3.9713 3.8525
Cs 10.3142 5.9560 7.7051
Ag 3.4379 1.9852 3.8525

***

[10]
12
Lattice="-0.4286 -6.6542 -1.9744 6.3635 -2.1189 -2.8391 4.4224 -3.7531 7.4569" Properties=species:S:1:pos:R:3 comment="CsAgHg2Cl8, optimized geometry, DFT PBE" raw_formation_energy_ev_per_fu=-8.59 vol_a3_per_atom=36.61 spacegroup="P-1 (2)" pbc="T T T"
Cl 8.6187 -5.1081 4.1776
Cl 6.9483 -7.4099 1.1255
Cl 1.7386 -7.4182 -1.5341
Cl 5.7634 -7.3805 5.6334
Cl 3.4090 -5.1164 1.5179
Cl 5.7697 -2.4442 -0.5899
Cl 4.5939 -5.1457 -2.9899
Cl 4.5876 -10.0820 3.2334
Ag 0.0000 0.0000 0.0000
Hg 3.8435 -5.0118 -0.7753
Hg 6.5139 -7.5145 3.4188
Cs 2.2112 -1.8765 3.7284

***

[11]
16
Lattice="-2.2791 2.0690 -7.0105 6.8778 -3.3062 -0.6218 -5.9163 -8.0728 1.6876" Properties=species:S:1:pos:R:3 comment="CsAgHgCl5, optimized geometry, DFT PBE" raw_formation_energy_ev_per_fu=-6.92 vol_a3_per_atom=33.38 spacegroup="C2/c (15)" pbc="T T T"
Cl 0.0980 -0.3575 -2.3899
Cl -6.6537 -4.0224 -5.7012
Cl 5.3362 -5.2877 -0.2435
Cl -1.4279 -9.1656 0.3157
Cl -1.3754 -5.2655 -0.5102
Cl 0.0578 -4.0446 -5.4346
Cl 0.1103 -0.1445 -6.2605
Cl -3.0267 -2.4542 -3.7074
Cl -1.4155 -8.9526 -3.5548
Cl 1.7092 -6.8559 -2.2373
Hg 0.0950 -7.9839 -0.9926
Hg -1.4125 -1.3261 -4.9521
Cs 1.9669 -3.3099 -2.5943
Cs -3.2844 -6.0002 -3.3504
Ag -2.9581 -4.0364 0.8438
Ag 0.0000 0.0000 0.0000

***

[12]
11
Lattice="7.7765 0.0000 0.0000 -3.8882 6.7845 -0.1217 0.0000 -4.0600 7.4102" Properties=species:S:1:pos:R:3 comment="Cs2AgHg2Cl6, optimized geometry, DFT PBE" raw_formation_energy_ev_per_fu=-11.20 vol_a3_per_atom=35.19 spacegroup="C2/m (12)" pbc="T T T"
Cs 3.8882 2.1811 1.3842
Cs 0.0000 0.5433 5.9043
Cl 0.0000 2.0413 2.7501
Cl 3.8882 0.6832 4.5384
Cl -1.7776 5.1906 1.6510
Cl 1.7776 5.1906 1.6510
Cl 5.6658 -2.4661 5.6376
Cl 2.1107 -2.4661 5.6376
Ag 3.8882 -2.0300 3.7051
Hg 0.0000 -0.0892 1.3774
Hg 3.8882 2.8137 5.9112

***

Number 1: electronic total energy -3.304 eV per atom. Number 2: electronic total energy -3.206 eV per atom. Number 3: electronic total energy -2.939 eV per atom. Number 4: electronic total energy -2.868 eV per atom. Number 5: electronic total energy -4.122 eV per atom. Number 6: electronic total energy -4.363 eV per atom. Number 7: electronic total energy -2.758 eV per atom. Number 8: electronic total energy -2.781 eV per atom. Number 9: electronic total energy -2.378 eV per atom. Number 10: electronic total energy -2.306 eV per atom. Number 11: electronic total energy -2.520 eV per atom. Number 12: electronic total energy -2.494 eV per atom.